# Ac4Pm3Sn4

An optimized crystal structure of Ac4Pm3Sn4 (PBE, the Alexandria database).

Structure (POSCAR):
```
Ac4Pm3Sn4
1.0
3.783 0.000 0.000
0.000 10.055 0.000
-1.891 -5.027 9.944
Sn Ac Pm
4 4 3
direct
0.282 0.782 0.563
0.500 0.778 0.000
0.500 0.222 0.000
0.718 0.218 0.437
0.335 0.510 0.670
0.665 0.490 0.330
0.665 0.840 0.330
0.335 0.160 0.670
0.912 0.912 0.824
0.000 0.500 0.000
0.088 0.088 0.176
```

Values from the calculation:
The calculation puts the formation energy at -5.76 eV/f.u. As for the total energy: -4.769 eV per atom.

***

# AlH3Cl

An optimized crystal structure of AlH3Cl (PBE, the Alexandria database).

Structure (POSCAR):
```
AlH3Cl
1.0
-0.491 3.575 1.214
-2.610 -1.206 2.496
2.728 -0.510 2.606
H Cl Al
3 1 1
direct
0.500 0.000 0.000
0.000 0.500 0.000
0.000 0.000 0.500
0.000 0.000 0.000
0.500 0.500 0.500
```

Values from the calculation:
The polymorph energy (0 for the lowest one) is 1297 meV per atom. As for the total energy: -2.082 eV per atom.